Compound: In2SnI4
Source: Alexandria via LeMat-Bulk
Functional: PBE
Structure: optimized geometry

Unit cell a=8.8858 b=8.8858 c=9.2920 alpha=117.99 beta=117.99 gamma=30.28
Last column: nearest neighbours and their distance in Å.
Atoms (fractional coordinates):
1 In 0.2151 0.2151 0.1917  6 I 3.37-3.78
2 In 0.7849 0.7849 0.8083  6 I 3.37-3.78
3 Sn 0.5000 0.5000 0.5000  6 I 3.20-3.23
4 I 0.1304 0.1304 0.4985  2 Sn 3.23
5 I 0.3853 0.3853 0.1068  1 Sn 3.20, 3 In 3.37-3.38
6 I 0.6147 0.6147 0.8932  1 Sn 3.20, 3 In 3.37-3.38
7 I 0.8696 0.8696 0.5015  2 Sn 3.23

Properties
Density of states at the Fermi level   0.000 states/eV/atom
ρ   4.397 Mg/m³
Offset from the most stable computed form   0.10 eV/f.u.
E_form (uncorrected)   -44.4 kJ/mol of atoms



Compound: In3SnI6
Source: Alexandria via LeMat-Bulk
Functional: PBE
Structure: optimized geometry

Unit cell a=10.6342 b=10.6342 c=8.2159 alpha=90.00 beta=90.00 gamma=101.84
Last column: nearest neighbours and their distance in Å.
Atoms (fractional coordinates):
1 In 0.0448 0.9552 0.5000  5 I 3.01-3.13
2 In 0.2060 0.4518 0.5815  6 I 3.41-3.81
3 In 0.4518 0.2060 0.0815  6 I 3.41-3.81
4 In 0.5482 0.7940 0.5815  6 I 3.41-3.81
5 In 0.7940 0.5482 0.0815  6 I 3.41-3.81
6 In 0.9552 0.0448 0.0000  5 I 3.01-3.13
7 Sn 0.3427 0.6573 0.1003  3 I 2.94-3.09
8 Sn 0.6573 0.3427 0.6003  3 I 2.94-3.09
9 I 0.0979 0.5686 0.9297  1 Sn 2.94
10 I 0.1545 0.1775 0.2595  3 In 3.12-3.44
11 I 0.1775 0.1545 0.7595  3 In 3.12-3.44
12 I 0.2242 0.7758 0.4339  1 In 3.01, 1 Sn 3.37
13 I 0.4314 0.9021 0.9297  1 Sn 2.94
14 I 0.4808 0.5192 0.8456  1 Sn 3.09
15 I 0.5192 0.4808 0.3456  1 Sn 3.09
16 I 0.5686 0.0979 0.4297  1 Sn 2.94
17 I 0.7758 0.2242 0.9339  1 In 3.01, 1 Sn 3.37
18 I 0.8225 0.8455 0.2595  3 In 3.12-3.44
19 I 0.8455 0.8225 0.7595  3 In 3.12-3.44
20 I 0.9021 0.4314 0.4297  1 Sn 2.94

Properties
Density of states at the Fermi level   0.239 states/eV/atom
ρ   4.472 Mg/m³
E_form (uncorrected)   -40.1 kJ/mol of atoms



Compound: InSn2I
Source: Alexandria via LeMat-Bulk
Functional: PBE
Structure: optimized geometry

Unit cell a=9.2013 b=9.2013 c=9.2013 alpha=137.99 beta=137.99 gamma=60.91
Last column: nearest neighbours and their distance in Å.
Atoms (fractional coordinates):
1 In 0.0000 0.0000 0.0000  4 Sn 2.92
2 In 0.7500 0.2500 0.5000  4 Sn 2.92
3 Sn 0.0833 0.6250 0.9583  2 In 2.92, 2 I 3.22
4 Sn 0.3750 0.3333 0.4583  2 In 2.92, 2 I 3.22
5 Sn 0.6667 0.1250 0.0417  2 In 2.92, 2 I 3.22
6 Sn 0.8750 0.9167 0.5417  2 In 2.92, 2 I 3.22
7 I 0.2500 0.7500 0.5000  4 Sn 3.22
8 I 0.5000 0.5000 0.0000  4 Sn 3.22

Properties
Density of states at the Fermi level   0.875 states/eV/atom
ρ   4.612 Mg/m³
Offset from the most stable computed form   0.71 eV/f.u.
E_form (uncorrected)   26.3 kJ/mol of atoms



Compound: In2Sn2I7
Source: Alexandria via LeMat-Bulk
Functional: PBE
Structure: optimized geometry

Unit cell a=8.5918 b=8.5918 c=7.5951 alpha=94.50 beta=94.50 gamma=85.50
Last column: nearest neighbours and their distance in Å.
Atoms (fractional coordinates):
1 In 0.2299 0.7701 0.0000  4 I 3.33-3.56
2 In 0.7701 0.2299 0.0000  4 I 3.33-3.56
3 Sn 0.2611 0.2611 0.5269  4 I 2.90-3.04
4 Sn 0.7389 0.7389 0.4731  4 I 2.90-3.04
5 I 0.0391 0.4132 0.7651  1 Sn 2.90
6 I 0.0773 0.0773 0.2404  1 Sn 3.01, 2 In 3.33
7 I 0.4132 0.0391 0.7651  1 Sn 2.90
8 I 0.5000 0.5000 0.5000  2 Sn 3.04
9 I 0.5868 0.9609 0.2349  1 Sn 2.90
10 I 0.9227 0.9227 0.7596  1 Sn 3.01, 2 In 3.33
11 I 0.9609 0.5868 0.2349  1 Sn 2.90

Properties
Density of states at the Fermi level   0.383 states/eV/atom
ρ   4.050 Mg/m³
E_form (uncorrected)   -36.7 kJ/mol of atoms



Compound: InSn2I
Source: Alexandria via LeMat-Bulk
Functional: PBE
Structure: optimized geometry

Unit cell a=5.5217 b=5.5217 c=5.5217 alpha=60.00 beta=60.00 gamma=60.00
Last column: nearest neighbours and their distance in Å.
Atoms (fractional coordinates):
1 In 0.0000 0.0000 0.0000  8 Sn 3.38
2 Sn 0.2500 0.2500 0.2500  4 In 3.38, 4 I 3.38
3 Sn 0.7500 0.7500 0.7500  4 In 3.38, 4 I 3.38
4 I 0.5000 0.5000 0.5000  8 Sn 3.38

Properties
Density of states at the Fermi level   0.810 states/eV/atom
ρ   6.683 Mg/m³
Offset from the most stable computed form   0.27 eV/f.u.
E_form (uncorrected)   15.6 kJ/mol of atoms



Compound: In2Sn2I
Source: Alexandria via LeMat-Bulk
Functional: PBE
Structure: optimized geometry

Unit cell a=8.5262 b=8.5262 c=8.5262 alpha=149.67 beta=149.67 gamma=43.42
Last column: nearest neighbours and their distance in Å.
Atoms (fractional coordinates):
1 In 0.0961 0.0961 0.0000  1 In 3.05, 4 Sn 3.30
2 In 0.9039 0.9039 0.0000  1 In 3.05, 4 Sn 3.30
3 Sn 0.2500 0.7500 0.5000  4 Sn 3.15, 4 In 3.30
4 Sn 0.7500 0.2500 0.5000  4 Sn 3.15, 4 In 3.30
5 I 0.5000 0.5000 0.0000  8 In 3.50

Properties
Density of states at the Fermi level   0.681 states/eV/atom
ρ   6.258 Mg/m³
Offset from the most stable computed form   0.00 eV/f.u.
E_form (uncorrected)   -1.7 kJ/mol of atoms



Compound: In2SnI6
Source: Alexandria via LeMat-Bulk
Functional: PBE
Structure: optimized geometry

Unit cell a=8.9221 b=8.9221 c=8.9221 alpha=52.63 beta=52.63 gamma=52.63
Last column: nearest neighbours and their distance in Å.
Atoms (fractional coordinates):
1 In 0.0000 0.0000 0.0000  6 I 3.45-3.52
2 In 0.1795 0.1795 0.1795  6 I 2.95-3.00
3 Sn 0.5095 0.5095 0.5095  6 I 3.15-3.29
4 I 0.0836 0.4251 0.8113  1 In 2.95, 1 Sn 3.29
5 I 0.3075 0.9353 0.5323  1 In 3.00, 1 Sn 3.15
6 I 0.4251 0.8113 0.0836  1 In 2.95, 1 Sn 3.29
7 I 0.5323 0.3075 0.9353  1 In 3.00, 1 Sn 3.15
8 I 0.8113 0.0836 0.4251  1 In 2.95, 1 Sn 3.29
9 I 0.9353 0.5323 0.3075  1 In 3.00, 1 Sn 3.15

Properties
ρ   4.437 Mg/m³
Offset from the most stable computed form   0.00 eV/f.u.
E_form (uncorrected)   -45.5 kJ/mol of atoms



Compound: In6SnI8
Source: Alexandria via LeMat-Bulk
Functional: PBE
Structure: optimized geometry

Unit cell a=9.0860 b=9.0860 c=9.0860 alpha=70.78 beta=70.78 gamma=70.78
Last column: nearest neighbours and their distance in Å.
Atoms (fractional coordinates):
1 In 0.0343 0.7991 0.4546  5 I 3.37-3.66
2 In 0.2009 0.5454 0.9657  5 I 3.37-3.66
3 In 0.4546 0.0343 0.7991  5 I 3.37-3.66
4 In 0.5454 0.9657 0.2009  5 I 3.37-3.66
5 In 0.7991 0.4546 0.0343  5 I 3.37-3.66
6 In 0.9657 0.2009 0.5454  5 I 3.37-3.66
7 Sn 0.5000 0.5000 0.5000  6 I 3.19
8 I 0.1639 0.4059 0.6636  1 Sn 3.19, 3 In 3.46-3.56
9 I 0.1689 0.1689 0.1689  3 In 3.37
10 I 0.3364 0.8361 0.5941  1 Sn 3.19, 3 In 3.46-3.56
11 I 0.4059 0.6636 0.1639  1 Sn 3.19, 3 In 3.46-3.56
12 I 0.5941 0.3364 0.8361  1 Sn 3.19, 3 In 3.46-3.56
13 I 0.6636 0.1639 0.4059  1 Sn 3.19, 3 In 3.46-3.56
14 I 0.8311 0.8311 0.8311  3 In 3.37
15 I 0.8361 0.5941 0.3364  1 Sn 3.19, 3 In 3.46-3.56

Properties
Density of states at the Fermi level   0.000 states/eV/atom
ρ   4.672 Mg/m³
E_form (uncorrected)   -43.7 kJ/mol of atoms



Compound: In2SnI6
Source: Alexandria via LeMat-Bulk
Functional: PBE
Structure: optimized geometry

Unit cell a=10.5653 b=10.5653 c=9.9205 alpha=107.86 beta=107.86 gamma=88.00
Last column: nearest neighbours and their distance in Å.
Atoms (fractional coordinates):
1 In 0.0917 0.2807 0.2553  4 I 2.92-2.99
2 In 0.2807 0.0917 0.7553  4 I 2.92-2.99
3 In 0.7193 0.9083 0.2447  4 I 2.92-2.99
4 In 0.9083 0.7193 0.7447  4 I 2.92-2.99
5 Sn 0.4214 0.5786 0.7500  4 I 3.01-3.28
6 Sn 0.5786 0.4214 0.2500  4 I 3.01-3.28
7 I 0.1264 0.1456 0.9631  2 In 2.92-2.94
8 I 0.1424 0.5502 0.7603  1 In 2.99, 1 Sn 3.01
9 I 0.1456 0.1264 0.4631  2 In 2.92-2.94
10 I 0.2993 0.5022 0.3864  1 In 2.95, 1 Sn 3.28
11 I 0.4498 0.8576 0.7397  1 In 2.99, 1 Sn 3.01
12 I 0.4978 0.7007 0.1136  1 In 2.95, 1 Sn 3.28
13 I 0.5022 0.2993 0.8864  1 In 2.95, 1 Sn 3.28
14 I 0.5502 0.1424 0.2603  1 In 2.99, 1 Sn 3.01
15 I 0.7007 0.4978 0.6136  1 In 2.95, 1 Sn 3.28
16 I 0.8544 0.8736 0.5369  2 In 2.92-2.94
17 I 0.8576 0.4498 0.2397  1 In 2.99, 1 Sn 3.01
18 I 0.8736 0.8544 0.0369  2 In 2.92-2.94

Properties
Density of states at the Fermi level   0.232 states/eV/atom
ρ   3.682 Mg/m³
Offset from the most stable computed form   0.50 eV/f.u.
E_form (uncorrected)   -40.1 kJ/mol of atoms



Compound: InSn3I8
Source: Alexandria via LeMat-Bulk
Functional: PBE
Structure: optimized geometry

Unit cell a=9.1053 b=9.1053 c=9.2022 alpha=120.13 beta=120.13 gamma=60.04
Last column: nearest neighbours and their distance in Å.
Atoms (fractional coordinates):
1 In 0.0000 0.0000 0.0000  6 I 3.19
2 Sn 0.0000 0.5000 0.0000  6 I 3.22
3 Sn 0.5000 0.0000 0.0000  6 I 3.22
4 Sn 0.5000 0.5000 0.0000  6 I 3.22
5 I 0.2474 0.7520 0.7551  1 In 3.19, 2 Sn 3.22
6 I 0.2483 0.2483 0.2451  1 In 3.19, 2 Sn 3.22
7 I 0.2480 0.7526 0.2449  1 In 3.19, 2 Sn 3.22
8 I 0.2497 0.2497 0.7528  3 Sn 3.22
9 I 0.7503 0.7503 0.2472  3 Sn 3.22
10 I 0.7520 0.2474 0.7551  1 In 3.19, 2 Sn 3.22
11 I 0.7517 0.7517 0.7549  1 In 3.19, 2 Sn 3.22
12 I 0.7526 0.2480 0.2449  1 In 3.19, 2 Sn 3.22

Properties
Density of states at the Fermi level   0.391 states/eV/atom
ρ   4.582 Mg/m³
E_form (uncorrected)   -45.7 kJ/mol of atoms



Compound: InSnI2
Source: Alexandria via LeMat-Bulk
Functional: PBE
Structure: optimized geometry

Unit cell a=10.8440 b=10.8440 c=10.8440 alpha=147.70 beta=147.70 gamma=46.32
Last column: nearest neighbours and their distance in Å.
Atoms (fractional coordinates):
1 In 0.0000 0.0000 0.0000  4 I 3.35
2 In 0.7500 0.2500 0.5000  4 I 3.35
3 Sn 0.2500 0.7500 0.5000  4 I 3.22
4 Sn 0.5000 0.5000 0.0000  4 I 3.22
5 I 0.1491 0.6250 0.0241  2 Sn 3.22, 2 In 3.35
6 I 0.3750 0.3991 0.5241  2 Sn 3.22, 2 In 3.35
7 I 0.6009 0.1250 0.9759  2 Sn 3.22, 2 In 3.35
8 I 0.8750 0.8509 0.4759  2 Sn 3.22, 2 In 3.35

Properties
Density of states at the Fermi level   0.936 states/eV/atom
ρ   4.461 Mg/m³
Offset from the most stable computed form   0.31 eV/f.u.
E_form (uncorrected)   -5.7 kJ/mol of atoms



Compound: InSnI2
Source: Alexandria via LeMat-Bulk
Functional: PBE
Structure: optimized geometry

Unit cell a=5.7493 b=5.7493 c=5.7493 alpha=60.00 beta=60.00 gamma=60.00
Last column: nearest neighbours and their distance in Å.
Atoms (fractional coordinates):
1 In 0.0000 0.0000 0.0000  8 I 3.52
2 Sn 0.5000 0.5000 0.5000  8 I 3.52
3 I 0.2500 0.2500 0.2500  4 Sn 3.52, 4 In 3.52
4 I 0.7500 0.7500 0.7500  4 In 3.52, 4 Sn 3.52

Properties
Density of states at the Fermi level   0.491 states/eV/atom
ρ   6.022 Mg/m³
Offset from the most stable computed form   0.00 eV/f.u.
E_form (uncorrected)   -13.1 kJ/mol of atoms



Q: E_form (uncorrected) of number 12 (InSnI2)?
A: -13.1 kJ/mol of atoms



Q: Look up the ρ of the twelfth one.
A: 6.022 Mg/m³



Q: Which of these has the highest E_form (uncorrected)?
A: number 3